DFT (PBE) results for a geometry-optimized Cs2NaCaCl5 structure.

a b c (Å): 4.363 9.923 15.009
angles (deg): 90.00 90.00 102.70
Atoms (fractional coordinates):
Ca 0.215 0.430 0.023
Ca 0.785 0.570 0.523
Na 0.446 0.892 0.450
Na 0.554 0.108 0.950
Cl 0.499 0.999 0.790
Cl 0.927 0.854 0.551
Cl 0.274 0.548 0.644
Cl 0.694 0.389 0.906
Cl 0.726 0.452 0.144
Cl 0.306 0.611 0.406
Cl 0.353 0.706 0.994
Cl 0.501 0.001 0.290
Cl 0.073 0.146 0.051
Cl 0.647 0.294 0.494
Cs 0.094 0.188 0.663
Cs 0.139 0.277 0.303
Cs 0.861 0.723 0.803
Cs 0.906 0.812 0.163

Results
Space group: Cmc2_1, No. 36
Volume (A^3/atom): 35.2
ΔE_f (raw) (eV per atom): -2.071

---

DFT (PBE) results for a geometry-optimized Ba3CdC structure.

a b c (Å): 5.785 5.785 5.785
angles (deg): 90.00 90.00 90.00
Atoms (fractional coordinates):
Ba 0.000 0.000 0.500
Ba 0.000 0.500 0.000
Ba 0.500 0.000 0.000
Cd 0.500 0.500 0.500
C 0.000 0.000 0.000

Results
Space group: Pm-3m, No. 221
Volume (A^3/atom): 38.7
Distance to the lowest polymorph of the same formula (eV/f.u.): 0.000
DFT formation energy (eV/atom): 0.33

---

DFT (PBE) results for a geometry-optimized Pr12Sb6C structure.

a b c (Å): 8.771 8.771 8.771
angles (deg): 98.92 98.92 98.92
Atoms (fractional coordinates):
Sb 0.120 0.642 0.299
Sb 0.701 0.880 0.358
Sb 0.642 0.299 0.120
Sb 0.880 0.358 0.701
Sb 0.299 0.120 0.642
Sb 0.358 0.701 0.880
Pr 0.426 0.556 0.191
Pr 0.444 0.809 0.574
Pr 0.939 0.008 0.699
Pr 0.301 0.061 0.992
Pr 0.699 0.939 0.008
Pr 0.008 0.699 0.939
Pr 0.556 0.191 0.426
Pr 0.574 0.444 0.809
Pr 0.992 0.301 0.061
Pr 0.191 0.426 0.556
Pr 0.809 0.574 0.444
Pr 0.061 0.992 0.301
C 0.000 0.000 0.000

Results
Space group: R-3, No. 148
Volume (A^3/atom): 34.1
ΔE_f (raw) (eV per atom): -0.661

---

no.,DOS at the Fermi energy (states/eV/f.u.),DFT total energy (eV/atom)
1,0.0,-3.66
2,8.7,-2.85
3,18.5,-5.47